BeSiOs at its PBEsol-relaxed geometry, computed with SCAN.

```
3
Lattice="2.754 0.000 0.000 -1.377 2.385 0.000 0.000 0.000 5.610" Properties=species:S:1:pos:R:3 pbc="T T T"
Os 0.000 1.590 3.769
Si 1.377 0.795 1.863
Be 0.000 0.000 5.587
```

V ... 12.28 A^3/atom
ΔE_f (raw) ... 0.0674 eV per atom
Symmetry ... P3m1 (156)


Ru4W11 at its PBEsol-relaxed geometry, computed with SCAN.

```
30
Lattice="4.967 0.000 0.000 0.000 9.583 0.000 0.000 0.000 9.583" Properties=species:S:1:pos:R:3 pbc="T T T"
W 3.724 1.759 7.824
W 0.000 0.000 0.000
W 1.241 6.550 6.550
W 3.724 7.824 1.759
W 2.483 4.792 4.792
W 1.241 3.033 3.033
W 2.483 9.242 6.043
W 0.000 3.815 5.768
W 1.242 7.824 1.759
W 0.000 8.332 4.450
W 3.726 3.033 3.033
W 3.726 6.550 6.550
W 2.483 6.043 9.242
W 0.000 4.450 8.332
W 2.483 0.342 3.540
W 1.242 1.759 7.824
W 2.483 8.607 8.607
W 2.483 0.976 0.976
W 0.000 5.768 3.815
W 0.000 1.251 5.133
W 2.483 3.540 0.342
W 0.000 5.133 1.251
Ru 2.483 4.141 7.310
Ru 2.483 5.442 2.273
Ru 2.483 7.310 4.141
Ru 0.000 0.650 2.518
Ru 0.000 2.518 0.650
Ru 2.483 2.273 5.442
Ru 0.000 8.933 7.065
Ru 0.000 7.065 8.933
```

V ... 15.20 A^3/atom
Calculated formation energy ... 0.961 eV per formula unit
Symmetry ... P4_2/mnm (136)